Entry 1:
Computed, not measured: an optimized crystal structure of SrCaTi2O6 at the GGA-PBEsol level of DFT.

```
20
Lattice="3.847 -3.861 0.000 3.847 3.861 0.000 0.000 0.000 7.725" Properties=species:S:1:pos:R:3 pbc="T T T"
Sr 3.847 3.780 5.794
Sr 3.847 -3.780 1.931
Ca 3.847 0.092 1.931
Ca 3.847 -0.092 5.794
Ti 1.924 1.930 0.000
Ti 1.924 1.930 3.863
Ti 1.924 -1.930 0.000
Ti 1.924 -1.930 3.863
O 2.243 1.870 1.931
O 1.702 0.000 0.000
O 1.702 0.000 3.863
O 3.847 1.676 4.180
O 3.847 1.676 7.407
O 5.452 1.870 1.931
O 2.243 -1.870 5.794
O 3.847 -1.676 0.318
O 3.847 -1.676 3.545
O 5.993 0.000 0.000
O 5.993 0.000 3.863
O 5.452 -1.870 5.794
```

Results
Formation energy without anion corrections: -3187 meV/atom
Total moment: 0.00 μB/cell
SG: No. 63
DOS(E_F): 0.00 states/eV per atom



Entry 2:
Computed, not measured: an optimized crystal structure of SrCa3Ti4O12 at the GGA-PBEsol level of DFT.

```
20
Lattice="5.401 0.000 0.000 0.000 7.657 0.000 -0.001 0.000 5.460" Properties=species:S:1:pos:R:3 pbc="T T T"
Sr 0.000 0.000 0.000
Ca 2.654 0.000 2.792
Ca 2.719 3.829 2.399
Ca 5.333 3.829 5.095
Ti 0.002 1.929 2.565
Ti 0.002 5.728 2.565
Ti 2.673 1.944 5.303
Ti 2.673 5.713 5.303
O 0.359 3.829 2.663
O 1.143 1.744 4.165
O 1.143 5.913 4.165
O 1.538 1.613 1.482
O 1.538 6.044 1.482
O 2.258 3.829 0.050
O 2.944 0.000 5.215
O 3.833 2.239 3.806
O 3.833 5.418 3.806
O 4.227 2.202 1.054
O 4.227 5.455 1.054
O 4.987 0.000 2.626
```

Results
Formation energy without anion corrections: -3190 meV/atom
Total moment: 0.00 μB/cell
SG: No. 6
DOS(E_F): 0.00 states/eV per atom



Entry 3:
Computed, not measured: an optimized crystal structure of SrCaV2O6 at the GGA-PBEsol level of DFT.

```
20
Lattice="7.537 0.000 0.000 0.000 5.366 0.000 0.000 0.000 5.357" Properties=species:S:1:pos:R:3 pbc="T T T"
Sr 0.000 1.342 0.000
Sr 0.000 4.024 2.678
Ca 3.769 1.329 5.304
Ca 3.769 4.037 2.625
V 1.913 1.352 2.661
V 1.913 4.015 5.340
V 5.624 1.352 2.661
V 5.624 4.015 5.340
O 0.000 1.206 2.659
O 0.000 4.160 5.338
O 1.812 2.641 4.043
O 1.812 2.725 1.365
O 2.048 0.043 1.279
O 2.048 5.324 3.957
O 3.769 1.528 2.671
O 3.769 3.838 5.349
O 5.489 0.043 1.279
O 5.489 5.324 3.957
O 5.725 2.641 4.043
O 5.725 2.725 1.365
```

Results
Formation energy without anion corrections: -2814 meV/atom
Total moment: 0.00 μB/cell
SG: No. 26
DOS(E_F): 0.24 states/eV per atom



Entry 4:
Computed, not measured: an optimized crystal structure of CaTa4O11 at the GGA-PBEsol level of DFT.

```
32
Lattice="6.209 0.000 0.000 -3.105 5.377 0.000 0.000 0.000 12.313" Properties=species:S:1:pos:R:3 pbc="T T T"
Ca 0.000 3.585 3.078
Ca 3.105 1.792 9.234
Ta -1.120 1.940 6.156
Ta -1.984 3.437 0.000
Ta 0.000 3.585 9.234
Ta 2.241 0.000 6.156
Ta 1.120 1.940 0.000
Ta 3.969 0.000 0.000
Ta 1.984 3.437 6.156
Ta 3.105 1.792 3.078
O -0.768 1.330 0.000
O -2.337 4.047 6.156
O -1.014 2.337 8.074
O -1.588 3.331 10.395
O 1.536 0.000 0.000
O 0.768 1.330 6.156
O 0.000 3.585 0.427
O 0.000 3.585 5.729
O 1.014 2.337 10.395
O -0.574 5.088 8.074
O 2.531 0.290 4.239
O 1.516 2.047 1.918
O 1.588 3.331 8.074
O 0.574 5.088 10.395
O 3.679 0.290 1.918
O 2.090 3.041 4.239
O 3.105 1.792 6.583
O 3.105 1.792 11.885
O 4.673 0.000 6.156
O 2.337 4.047 0.000
O 4.693 2.047 4.239
O 4.119 3.041 1.918
```

Results
Formation energy without anion corrections: -2972 meV/atom
Total moment: 0.00 μB/cell
SG: No. 182
DOS(E_F): 0.00 states/eV per atom



Entry 5:
Computed, not measured: an optimized crystal structure of CaTaO2 at the GGA-PBEsol level of DFT.

```
4
Lattice="0.000 2.782 2.782 2.782 0.000 2.782 2.782 2.782 0.000" Properties=species:S:1:pos:R:3 pbc="T T T"
Ca 0.000 0.000 0.000
Ta 2.782 2.782 2.782
O 1.391 1.391 1.391
O 4.173 4.173 4.173
```

Results
Formation energy without anion corrections: -1310 meV/atom
Total moment: 0.00 μB/cell
SG: No. 225
DOS(E_F): 0.43 states/eV per atom



Entry 6:
Computed, not measured: an optimized crystal structure of Ca2Ta2O7 at the GGA-PBEsol level of DFT.

```
22
Lattice="0.000 5.211 5.211 5.211 0.000 5.211 5.211 5.211 0.000" Properties=species:S:1:pos:R:3 pbc="T T T"
Ca 0.000 0.000 0.000
Ca 2.605 2.605 0.000
Ca 2.605 0.000 2.605
Ca 0.000 2.605 2.605
Ta 5.211 2.605 2.605
Ta 2.605 5.211 2.605
Ta 2.605 2.605 5.211
Ta 5.211 5.211 5.211
O 1.303 1.303 1.303
O 3.908 3.908 1.899
O 3.908 1.899 3.908
O 5.918 3.908 3.908
O 6.514 6.514 4.504
O 6.514 4.504 6.514
O 8.523 6.514 6.514
O 1.899 3.908 3.908
O 3.908 5.918 3.908
O 3.908 3.908 5.918
O 4.504 6.514 6.514
O 6.514 8.523 6.514
O 6.514 6.514 8.523
O 9.119 9.119 9.119
```

Results
Formation energy without anion corrections: -3061 meV/atom
Total moment: 0.00 μB/cell
SG: No. 227
DOS(E_F): 0.00 states/eV per atom



Entry 7:
Computed, not measured: an optimized crystal structure of Ca2TaVO6 at the GGA-PBEsol level of DFT.

```
20
Lattice="5.404 0.000 0.000 0.000 7.656 0.000 -0.010 0.000 5.563" Properties=species:S:1:pos:R:3 pbc="T T T"
Ca 0.052 1.914 0.228
Ca 2.624 1.914 3.123
Ca 2.770 5.742 2.440
Ca 5.342 5.742 5.335
Ta -0.005 0.000 2.781
Ta -0.005 3.828 2.781
V 2.702 0.000 0.000
V 2.702 3.828 0.000
O 0.496 5.742 2.935
O 1.080 0.356 4.394
O 1.080 3.472 4.394
O 1.577 0.333 1.650
O 1.577 3.495 1.650
O 2.289 5.742 0.105
O 3.105 1.914 5.458
O 3.817 4.161 3.913
O 3.817 7.323 3.913
O 4.314 4.184 1.169
O 4.314 7.300 1.169
O 4.898 1.914 2.628
```

Results
Formation energy without anion corrections: -2914 meV/atom
Total moment: 4.01 μB/cell
SG: No. 11
DOS(E_F): 0.25 states/eV per atom



Entry 8:
Computed, not measured: an optimized crystal structure of CaTcO3 at the GGA-PBEsol level of DFT.

```
20
Lattice="5.532 0.000 0.000 0.000 7.651 0.000 0.000 0.000 5.327" Properties=species:S:1:pos:R:3 pbc="T T T"
Ca 0.300 1.913 0.077
Ca 2.466 5.738 2.740
Ca 3.066 1.913 2.587
Ca 5.232 5.738 5.251
Tc 0.000 0.000 2.664
Tc 0.000 3.825 2.664
Tc 2.766 0.000 0.000
Tc 2.766 3.825 0.000
O 0.142 5.738 2.190
O 1.141 4.176 4.252
O 1.141 7.300 4.252
O 1.625 0.351 1.588
O 1.625 3.475 1.588
O 2.624 1.913 4.853
O 2.908 5.738 0.474
O 3.907 4.176 3.739
O 3.907 7.300 3.739
O 4.391 0.351 1.075
O 4.391 3.475 1.075
O 5.391 1.913 3.137
```

Results
Formation energy without anion corrections: -2143 meV/atom
Total moment: 4.94 μB/cell
SG: No. 62
DOS(E_F): 0.60 states/eV per atom



Entry 9:
Computed, not measured: an optimized crystal structure of CaTcO3 at the GGA-PBEsol level of DFT.

```
10
Lattice="2.741 1.582 4.350 -2.741 1.582 4.350 0.000 -3.164 4.350" Properties=species:S:1:pos:R:3 pbc="T T T"
Ca 0.000 0.000 0.000
Ca 0.000 0.000 6.525
Tc 0.000 0.000 3.268
Tc 0.000 0.000 9.793
O -1.153 -1.167 4.357
O -2.306 -0.001 6.532
O -0.434 1.581 4.357
O 1.154 -1.997 6.532
O 1.587 -0.415 4.357
O 1.153 1.998 6.532
```

Results
Formation energy without anion corrections: -2125 meV/atom
Total moment: 1.39 μB/cell
SG: No. 161
DOS(E_F): 0.67 states/eV per atom



Entry 10:
Computed, not measured: an optimized crystal structure of Ca5Te3O14 at the GGA-PBEsol level of DFT.

```
44
Lattice="5.222 -5.202 0.000 5.222 5.202 0.000 0.000 0.000 10.466" Properties=species:S:1:pos:R:3 pbc="T T T"
Ca 0.000 0.000 0.000
Ca 2.611 0.187 7.850
Ca 5.222 2.646 8.102
Ca 5.222 2.557 2.869
Ca 2.611 -0.187 2.617
Ca 5.222 0.000 5.233
Ca 7.833 0.187 7.850
Ca 5.222 -2.557 7.598
Ca 5.222 -2.646 2.365
Ca 7.833 -0.187 2.617
Te 0.000 0.000 5.233
Te 2.611 2.601 0.000
Te 2.611 2.601 5.233
Te 2.611 -2.601 0.000
Te 2.611 -2.601 5.233
Te 5.222 0.000 0.000
O 1.333 1.251 5.925
O 1.716 1.362 1.181
O 3.739 3.339 1.362
O 5.222 4.619 7.022
O 3.739 1.863 6.595
O 3.506 1.362 4.052
O 1.333 -1.251 4.541
O 3.890 1.251 9.774
O 1.716 -1.362 9.285
O 6.705 3.339 1.362
O 5.222 0.583 1.789
O 6.705 1.863 6.595
O 3.506 -1.362 6.414
O 3.890 -1.251 0.692
O 6.555 1.251 9.774
O 6.938 1.362 4.052
O 3.739 -1.863 3.871
O 5.222 -0.583 8.678
O 3.739 -3.339 9.104
O 8.729 1.362 1.181
O 6.555 -1.251 0.692
O 9.112 1.251 5.925
O 6.938 -1.362 6.414
O 6.705 -1.863 3.871
O 5.222 -4.619 3.444
O 6.705 -3.339 9.104
O 8.729 -1.362 9.285
O 9.112 -1.251 4.541
```

Results
Formation energy without anion corrections: -2122 meV/atom
Total moment: 0.00 μB/cell
SG: No. 64
DOS(E_F): 0.00 states/eV per atom



Entry 11:
Computed, not measured: an optimized crystal structure of CaTe2O5 at the GGA-PBEsol level of DFT.

```
32
Lattice="9.374 0.000 0.000 0.000 5.672 0.000 -4.646 0.000 9.996" Properties=species:S:1:pos:R:3 pbc="T T T"
Ca -0.459 1.131 1.392
Ca -2.781 1.705 6.390
Ca 7.510 3.967 3.605
Ca 5.187 4.541 8.603
Te 1.448 3.854 2.254
Te -0.875 4.654 7.252
Te 0.995 0.838 4.887
Te -1.327 1.999 9.885
Te 6.056 3.674 0.111
Te 3.733 4.835 5.109
Te 5.603 1.018 2.744
Te 3.280 1.818 7.742
O -1.651 3.672 5.874
O 0.672 4.837 0.876
O -2.301 0.012 7.939
O 0.022 2.824 2.941
O -2.041 3.009 8.448
O 0.282 5.499 3.450
O -0.663 0.547 6.002
O 1.660 2.289 1.004
O 4.064 3.434 0.944
O 1.742 5.075 5.942
O 2.987 0.598 4.054
O 0.664 2.238 9.052
O 3.068 3.384 8.992
O 5.391 5.125 3.994
O 4.446 0.173 6.546
O 6.769 2.663 1.548
O 4.706 2.848 7.055
O 7.029 5.660 2.057
O 4.057 0.836 9.120
O 6.379 2.000 4.122
```

Results
Formation energy without anion corrections: -1665 meV/atom
Total moment: 0.00 μB/cell
SG: No. 14
DOS(E_F): 0.00 states/eV per atom



Entry 12:
Computed, not measured: an optimized crystal structure of CaThV2O8 at the GGA-PBEsol level of DFT.

```
12
Lattice="-3.631 3.631 3.195 3.631 -3.631 3.195 3.631 3.631 -3.195" Properties=species:S:1:pos:R:3 pbc="T T T"
Ca 0.000 0.000 0.000
Th 0.000 3.631 1.597
V 3.631 0.000 1.597
V 0.000 0.000 3.195
O 2.331 0.000 0.479
O 4.930 0.000 0.479
O 3.631 2.291 -1.065
O 3.631 -1.299 2.715
O 0.000 1.339 2.130
O 3.631 1.299 2.715
O 2.291 3.631 1.065
O 1.339 0.000 4.260
```

Results
Formation energy without anion corrections: -2997 meV/atom
Total moment: 0.00 μB/cell
SG: No. 119
DOS(E_F): 0.00 states/eV per atom



Entry 13:
Computed, not measured: an optimized crystal structure of CaTi3O7 at the GGA-PBEsol level of DFT.

```
44
Lattice="10.316 0.000 0.000 0.000 10.525 0.000 0.000 0.000 5.366" Properties=species:S:1:pos:R:3 pbc="T T T"
Ca 0.798 2.631 1.011
Ca 4.360 7.893 3.694
Ca 5.955 2.631 1.672
Ca 9.518 7.893 4.355
Ti 1.927 5.488 3.824
Ti 1.927 10.299 3.824
Ti 2.144 7.893 1.093
Ti 3.014 2.631 3.776
Ti 3.231 0.226 1.140
Ti 3.231 5.037 1.140
Ti 7.085 5.488 4.226
Ti 7.085 10.299 4.226
Ti 7.302 7.893 1.590
Ti 8.172 2.631 4.273
Ti 8.389 0.226 1.543
Ti 8.389 5.037 1.543
O 0.329 5.983 3.929
O 0.329 9.804 3.929
O 0.463 7.893 0.995
O 2.328 1.273 2.522
O 2.328 3.990 2.522
O 2.387 1.271 5.088
O 2.387 3.992 5.088
O 2.771 6.533 2.405
O 2.771 9.254 2.405
O 2.830 6.535 5.205
O 2.830 9.252 5.205
O 4.695 2.631 3.678
O 4.828 0.720 1.246
O 4.828 4.542 1.246
O 5.487 5.983 4.120
O 5.487 9.804 4.120
O 5.620 7.893 1.688
O 7.486 1.273 0.161
O 7.486 3.990 0.161
O 7.544 1.271 2.962
O 7.544 3.992 2.962
O 7.929 6.533 0.278
O 7.929 9.254 0.278
O 7.987 6.535 2.844
O 7.987 9.252 2.844
O 9.853 2.631 4.371
O 9.986 0.720 1.437
O 9.986 4.542 1.437
```

Results
Formation energy without anion corrections: -3029 meV/atom
Total moment: 0.00 μB/cell
SG: No. 62
DOS(E_F): 0.00 states/eV per atom



Entry 14:
Computed, not measured: an optimized crystal structure of Ca2Ti3O8 at the GGA-PBEsol level of DFT.

```
13
Lattice="5.545 -3.028 0.000 5.545 3.028 0.000 -1.761 0.000 4.719" Properties=species:S:1:pos:R:3 pbc="T T T"
Ca 2.220 0.000 0.762
Ca 7.109 0.000 3.957
Ti 4.665 1.610 2.359
Ti 5.545 0.000 0.000
Ti 4.665 -1.610 2.359
O 0.360 0.000 2.128
O 4.199 1.334 0.499
O 5.130 1.334 4.219
O 3.391 0.000 2.802
O 5.939 0.000 1.917
O 4.199 -1.334 0.499
O 5.130 -1.334 4.219
O 8.970 0.000 2.591
```

Results
Formation energy without anion corrections: -3163 meV/atom
Total moment: 0.00 μB/cell
Polymorph energy (0 for the lowest one): 0 kJ/mol of formula units
SG: No. 12
DOS(E_F): 0.00 states/eV per atom



Entry 15:
Computed, not measured: an optimized crystal structure of CaTi3O at the GGA-PBEsol level of DFT.

```
5
Lattice="4.284 0.000 0.000 0.000 4.284 0.000 0.000 0.000 4.284" Properties=species:S:1:pos:R:3 pbc="T T T"
Ca 0.000 0.000 0.000
Ti 0.000 2.142 2.142
Ti 2.142 0.000 2.142
Ti 2.142 2.142 0.000
O 2.142 2.142 2.142
```

Results
Formation energy without anion corrections: -679 meV/atom
Total moment: 0.00 μB/cell
SG: No. 221
DOS(E_F): 0.89 states/eV per atom